Here is a geometry-optimized LiTiV3O10 structure from the Alexandria database. Energies are from PBE+U.

Calculated values
**V**: 14.2 A^3/atom
**Calculated total energy**: -7.523 eV/atom

Cell lengths 6.6147, 6.6147, 4.8770 Å; angles 92.67, 92.67, 90.65 degrees
Closest atoms and distances in Å follow each position.
Positions (direct):
Li1 0.0000 0.0000 0.0000  6 O 2.07-2.28
Ti1 0.7506 0.2494 0.5000  4 O 1.83-1.84
V1 0.2418 0.2401 0.6112  2 O 1.63-1.83
V2 0.2513 0.7487 0.5000  4 O 1.73-1.75
V3 0.7599 0.7582 0.3888  2 O 1.63-1.83
O1 0.0424 0.7607 0.2677  1 V 1.75
O2 0.2083 0.2061 0.2786  1 V 1.63
O3 0.2393 0.9576 0.7323  1 V 1.75
O4 0.2399 0.5270 0.6744  2 V 1.73-1.91
O5 0.4730 0.7601 0.3256  2 V 1.73-1.91
O6 0.5154 0.2407 0.6826  1 V 1.83, 1 Ti 1.83
O7 0.7593 0.4846 0.3174  1 V 1.83, 1 Ti 1.83
O8 0.7644 0.0246 0.2639  1 Ti 1.84, 1 V 1.89
O9 0.7939 0.7917 0.7214  1 V 1.63
O10 0.9754 0.2356 0.7361  1 Ti 1.84, 1 V 1.89